(1)
Material: LaSi3Ni
Method: DFT, PBE-GGA
State: optimized geometry

Cell lengths 5.3862, 5.3862, 5.3862 Å; angles 90.00, 90.00, 90.00 degrees
With the nearest neighbours (Å) after each atom.
Positions (direct):
La  0.0000  0.0000  0.0000  6 Si 2.69
Si  0.0000  0.0000  0.5000  2 La 2.69
Si  0.0000  0.5000  0.0000  2 La 2.69
Si  0.5000  0.0000  0.0000  2 La 2.69
Ni  0.5000  0.5000  0.5000  12 Si 3.81

The calculated volume comes out at 156.3 Å³/cell. The value obtained for the density is 3.0 g/cm3. The value obtained for the total magnetic moment is 0.00 μB per atom. As for the energy: -17.7 eV/cell. The uncorrected formation energy comes out at 1854 meV/atom.

---

(2)
Material: La2Si2Ni3
Method: DFT, PBE-GGA
State: optimized geometry

Cell lengths 11.0483, 3.7917, 6.9273 Å; angles 90.00, 119.53, 90.00 degrees
With the nearest neighbours (Å) after each atom.
Positions (direct):
La  0.1324  0.0000  0.2547  4 Si 3.08-3.17, 7 Ni 3.10-3.39, 1 La 3.29
La  0.3676  0.5000  0.7453  4 Si 3.08-3.17, 7 Ni 3.10-3.39, 1 La 3.29
La  0.6324  0.5000  0.2547  4 Si 3.08-3.17, 7 Ni 3.10-3.39, 1 La 3.29
La  0.8676  0.0000  0.7453  4 Si 3.08-3.17, 7 Ni 3.10-3.39, 1 La 3.29
Si  0.1374  0.0000  0.7164  5 Ni 2.32-2.43
Si  0.3626  0.5000  0.2836  5 Ni 2.32-2.43
Si  0.6374  0.5000  0.7164  5 Ni 2.32-2.43
Si  0.8626  0.0000  0.2836  5 Ni 2.32-2.43
Ni  0.0000  0.5000  0.5000  4 Si 2.43, 2 Ni 2.56
Ni  0.1574  0.5000  0.9223  3 Si 2.32-2.41, 1 Ni 2.56
Ni  0.3426  0.0000  0.0777  3 Si 2.32-2.41, 1 Ni 2.56
Ni  0.5000  0.0000  0.5000  4 Si 2.43, 2 Ni 2.56
Ni  0.6574  0.0000  0.9223  3 Si 2.32-2.41, 1 Ni 2.56
Ni  0.8426  0.5000  0.0777  3 Si 2.32-2.41, 1 Ni 2.56

The calculated volume comes out at 252.5 Å³/cell. The value obtained for the density is 6.7 g/cm3. The value obtained for the total magnetic moment is 0.00 μB per atom. As for the energy: -84.8 eV/cell. The uncorrected formation energy comes out at -622 meV/atom.

---

(3)
Material: La3Si2Ni9
Method: DFT, PBE-GGA
State: optimized geometry

Cell lengths 7.9533, 7.9533, 7.9533 Å; angles 151.31, 105.25, 81.94 degrees
With the nearest neighbours (Å) after each atom.
Positions (direct):
La  0.0000  0.0000  0.0000  4 Ni 2.98, 4 Si 3.24
La  0.3075  0.3075  0.0000  12 Ni 2.94-3.08, 2 Si 3.23
La  0.6925  0.6925  0.0000  12 Ni 2.94-3.08, 2 Si 3.23
Si  0.2667  0.5000  0.7667  6 Ni 2.33-2.42
Si  0.7333  0.5000  0.2333  6 Ni 2.33-2.42
Ni  0.0021  0.3070  0.6951  5 Ni 2.39-2.62, 1 Si 2.42
Ni  0.1777  0.8966  0.2810  2 Si 2.33, 5 Ni 2.39-2.48
Ni  0.3844  0.1034  0.2810  2 Si 2.33, 5 Ni 2.39-2.48
Ni  0.3881  0.6930  0.6951  5 Ni 2.39-2.62, 1 Si 2.42
Ni  0.5000  0.0000  0.5000  4 Ni 2.45
Ni  0.6119  0.3070  0.3049  5 Ni 2.39-2.62, 1 Si 2.42
Ni  0.6156  0.8966  0.7190  2 Si 2.33, 5 Ni 2.39-2.48
Ni  0.8223  0.1034  0.7190  2 Si 2.33, 5 Ni 2.39-2.48
Ni  0.9979  0.6930  0.3049  5 Ni 2.39-2.62, 1 Si 2.42

The calculated volume comes out at 228.5 Å³/cell. The value obtained for the density is 7.3 g/cm3. The value obtained for the total magnetic moment is 0.00 μB per atom. As for the energy: -83.7 eV/cell. The uncorrected formation energy comes out at -428 meV/atom.